BaYGa2Au5 PBE relaxed; theoretical density = 9.9 g cm⁻³; space group = No. 123; crystal system = tetragonal; energy relative to the elements = -48.7 kJ per mole of atoms
1.0
5.052 0.000 0.000
0.000 5.052 0.000
0.000 0.000 8.877
Ba Y Ga Au
1 1 2 5
Cartesian
0.000 0.000 4.438 Ba
0.000 0.000 0.000 Y
2.526 2.526 1.859 Ga
2.526 2.526 7.018 Ga
0.000 2.526 1.609 Au
2.526 0.000 1.609 Au
0.000 2.526 7.267 Au
2.526 0.000 7.267 Au
2.526 2.526 4.438 Au